Here is a relaxed Tb2Sc8In crystal from the Alexandria database. Energies are from PBE.

Properties
M_tot: 0.01 Bohr magnetons per cell
V: 25.69 Å³ per atom
Formation energy from the elements: 0.068 eV/atom

Geometry as CIF:
```
data_Tb2Sc8In
_cell_length_a 14.566
_cell_length_b 6.228
_cell_length_c 6.439
_cell_angle_alpha 90.00
_cell_angle_beta 104.63
_cell_angle_gamma 90.00
_symmetry_space_group_name_H-M 'C 1 2/m 1'
_symmetry_Int_Tables_number 12
_symmetry_space_group_name_Hall '-C 2y'
loop_
_atom_site_label
_atom_site_fract_x
_atom_site_fract_y
_atom_site_fract_z
Tb1 0.195 0.000 0.425
Sc1 0.082 0.268 0.702
Sc2 0.095 0.500 0.190
Sc3 0.230 0.000 0.982
In1 0.000 0.000 0.000
```